<A>
! NaCrAg2 PBE relaxed; values from VASP
&SYSTEM
  ibrav = 0, nat = 4, ntyp = 3
/
ATOMIC_SPECIES
Na 22.99 Na.upf
Cr 52.00 Cr.upf
Ag 107.87 Ag.upf
ATOMIC_POSITIONS crystal
Na 0.0000 0.0000 0.0000
Cr 0.5000 0.5000 0.5000
Ag 0.2500 0.2500 0.2500
Ag 0.7500 0.7500 0.7500
CELL_PARAMETERS angstrom
0.0000 3.3785 3.3785
3.3785 0.0000 3.3785
3.3785 3.3785 0.0000
! Space group   Fm-3m
! Magnetization   4.44 μB/f.u.
! Crystal system   cubic

=====

<B>
! NaCrAg2 PBE relaxed; values from VASP
&SYSTEM
  ibrav = 0, nat = 8, ntyp = 3
/
ATOMIC_SPECIES
Na 22.99 Na.upf
Cr 52.00 Cr.upf
Ag 107.87 Ag.upf
ATOMIC_POSITIONS crystal
Na 0.0000 0.0000 0.0000
Na 0.7500 0.2500 0.5000
Cr 0.2500 0.7500 0.5000
Cr 0.5000 0.5000 0.0000
Ag 0.1407 0.1250 0.5157
Ag 0.3750 0.8593 0.9843
Ag 0.6093 0.6250 0.4843
Ag 0.8750 0.3907 0.0157
CELL_PARAMETERS angstrom
-3.8200 3.8200 2.8922
3.8200 -3.8200 2.8922
3.8200 3.8200 -2.8922
! Space group   I-42d
! Magnetization   4.60 μB/f.u.
! Crystal system   tetragonal

=====

Taking the most stable structure as the zero point, the relative energies in eV/atom are <A> 0.000; <B> 0.184.

=====

<A>
! NaCr2Ag2 PBE relaxed; values from VASP
&SYSTEM
  ibrav = 0, nat = 5, ntyp = 3
/
ATOMIC_SPECIES
Na 22.99 Na.upf
Cr 52.00 Cr.upf
Ag 107.87 Ag.upf
ATOMIC_POSITIONS crystal
Na 0.0000 0.0000 0.0000
Cr 0.2500 0.7500 0.5000
Cr 0.7500 0.2500 0.5000
Ag 0.3812 0.3812 0.0000
Ag 0.6188 0.6188 0.0000
CELL_PARAMETERS angstrom
-1.5964 1.5964 8.8069
1.5964 -1.5964 8.8069
1.5964 1.5964 -8.8069
! Space group   I4/mmm
! Magnetization   0.00 μB/f.u.
! Crystal system   tetragonal

=====

<B>
! NaCr2Ag2 PBE relaxed; values from VASP
&SYSTEM
  ibrav = 0, nat = 10, ntyp = 3
/
ATOMIC_SPECIES
Na 22.99 Na.upf
Cr 52.00 Cr.upf
Ag 107.87 Ag.upf
ATOMIC_POSITIONS crystal
Na 0.0000 0.0000 0.0000
Na 0.5000 0.5000 0.0000
Cr 0.0826 0.4174 0.5000
Cr 0.4174 0.9174 0.5000
Cr 0.5826 0.0826 0.5000
Cr 0.9174 0.5826 0.5000
Ag 0.2042 0.7042 0.0000
Ag 0.2958 0.2042 0.0000
Ag 0.7042 0.7958 0.0000
Ag 0.7958 0.2958 0.0000
CELL_PARAMETERS angstrom
8.0643 0.0000 0.0000
0.0000 8.0643 0.0000
0.0000 0.0000 2.7198
! Space group   P4/mbm
! Magnetization   0.00 μB/f.u.
! Crystal system   tetragonal

=====

Taking the most stable structure as the zero point, the relative energies in eV/atom are <A> 0.005; <B> 0.000.

=====

<A>
! Nb3CrAg PBE relaxed; values from VASP
&SYSTEM
  ibrav = 0, nat = 5, ntyp = 3
/
ATOMIC_SPECIES
Nb 92.91 Nb.upf
Cr 52.00 Cr.upf
Ag 107.87 Ag.upf
ATOMIC_POSITIONS crystal
Nb 0.0000 0.0000 0.5000
Nb 0.0000 0.5000 0.0000
Nb 0.5000 0.0000 0.0000
Cr 0.5000 0.5000 0.5000
Ag 0.0000 0.0000 0.0000
CELL_PARAMETERS angstrom
4.8595 0.0000 0.0000
0.0000 4.8595 0.0000
0.0000 0.0000 4.8595
! Space group   Pm-3m
! Magnetization   0.00 μB/f.u.
! Crystal system   cubic

=====

<B>
! Nb3CrAg PBE relaxed; values from VASP
&SYSTEM
  ibrav = 0, nat = 5, ntyp = 3
/
ATOMIC_SPECIES
Nb 92.91 Nb.upf
Cr 52.00 Cr.upf
Ag 107.87 Ag.upf
ATOMIC_POSITIONS crystal
Nb 0.0000 0.0000 0.5000
Nb 0.0000 0.5000 0.0000
Nb 0.5000 0.0000 0.0000
Cr 0.0000 0.0000 0.0000
Ag 0.5000 0.5000 0.5000
CELL_PARAMETERS angstrom
4.6185 0.0000 0.0000
0.0000 4.6185 0.0000
0.0000 0.0000 4.6185
! Space group   Pm-3m
! Magnetization   0.00 μB/f.u.
! Crystal system   cubic

=====

Taking the most stable structure as the zero point, the relative energies in eV/atom are <A> 1.434; <B> 0.000.

=====

<A>
! Nb2CrAg PBE relaxed; values from VASP
&SYSTEM
  ibrav = 0, nat = 4, ntyp = 3
/
ATOMIC_SPECIES
Nb 92.91 Nb.upf
Cr 52.00 Cr.upf
Ag 107.87 Ag.upf
ATOMIC_POSITIONS crystal
Nb 0.2500 0.2500 0.2500
Nb 0.7500 0.7500 0.7500
Cr 0.0000 0.0000 0.0000
Ag 0.5000 0.5000 0.5000
CELL_PARAMETERS angstrom
0.0000 3.2158 3.2158
3.2158 0.0000 3.2158
3.2158 3.2158 0.0000
! Space group   Fm-3m
! Magnetization   0.00 μB/f.u.
! Crystal system   cubic

=====

<B>
! Nb2CrAg PBE relaxed; values from VASP
&SYSTEM
  ibrav = 0, nat = 8, ntyp = 3
/
ATOMIC_SPECIES
Nb 92.91 Nb.upf
Cr 52.00 Cr.upf
Ag 107.87 Ag.upf
ATOMIC_POSITIONS crystal
Nb 0.1152 0.6250 0.9902
Nb 0.3750 0.3652 0.4902
Nb 0.6348 0.1250 0.0098
Nb 0.8750 0.8848 0.5098
Cr 0.0000 0.0000 0.0000
Cr 0.7500 0.2500 0.5000
Ag 0.2500 0.7500 0.5000
Ag 0.5000 0.5000 0.0000
CELL_PARAMETERS angstrom
-1.9301 1.9301 9.9687
1.9301 -1.9301 9.9687
1.9301 1.9301 -9.9687
! Space group   I-42d
! Magnetization   2.69 μB/f.u.
! Crystal system   tetragonal

=====

Taking the most stable structure as the zero point, the relative energies in eV/atom are <A> 0.000; <B> 0.406.

=====

<A>
! NbCr3Ag2S8 PBE relaxed; values from VASP
&SYSTEM
  ibrav = 0, nat = 14, ntyp = 4
/
ATOMIC_SPECIES
Nb 92.91 Nb.upf
Cr 52.00 Cr.upf
Ag 107.87 Ag.upf
S 32.06 S.upf
ATOMIC_POSITIONS crystal
Nb 0.0000 0.0000 0.0000
Cr 0.4410 0.5000 0.0023
Cr 0.5214 0.5000 0.4978
Cr 0.9208 0.0000 0.5033
Ag 0.4609 0.5000 0.7399
Ag 0.9943 0.0000 0.2592
S 0.1266 0.5000 0.8775
S 0.1315 0.5000 0.4109
S 0.3104 0.0000 0.5886
S 0.3261 0.0000 0.1200
S 0.6129 0.0000 0.8989
S 0.6207 0.0000 0.3865
S 0.7926 0.5000 0.1082
S 0.8233 0.5000 0.6148
CELL_PARAMETERS angstrom
5.7975 0.0000 0.0000
0.0000 3.3987 0.0000
-0.4466 0.0000 12.8976
! Space group   Pm
! Magnetization   5.24 μB/f.u.
! Crystal system   monoclinic

=====

<B>
! NbCr3Ag2S8 PBE relaxed; values from VASP
&SYSTEM
  ibrav = 0, nat = 28, ntyp = 4
/
ATOMIC_SPECIES
Nb 92.91 Nb.upf
Cr 52.00 Cr.upf
Ag 107.87 Ag.upf
S 32.06 S.upf
ATOMIC_POSITIONS crystal
Nb 0.0000 0.2045 0.0000
Nb 0.5000 0.7955 0.5000
Cr 0.0000 0.1656 0.5254
Cr 0.0000 0.6577 0.2073
Cr 0.0000 0.6931 0.7380
Cr 0.5000 0.3069 0.2380
Cr 0.5000 0.3423 0.7073
Cr 0.5000 0.8344 0.0254
Ag 0.0000 0.0106 0.7903
Ag 0.0000 0.5251 0.9365
Ag 0.5000 0.4749 0.4365
Ag 0.5000 0.9894 0.2903
S 0.0000 0.1676 0.1917
S 0.0000 0.2903 0.8293
S 0.0000 0.3642 0.5827
S 0.0000 0.4506 0.2738
S 0.0000 0.6479 0.5555
S 0.0000 0.8023 0.9034
S 0.0000 0.8615 0.1541
S 0.0000 0.9504 0.4756
S 0.5000 0.0496 0.9756
S 0.5000 0.1385 0.6541
S 0.5000 0.1977 0.4034
S 0.5000 0.3521 0.0555
S 0.5000 0.5494 0.7738
S 0.5000 0.6358 0.0827
S 0.5000 0.7097 0.3293
S 0.5000 0.8324 0.6917
CELL_PARAMETERS angstrom
3.4670 0.0000 0.0000
0.0000 11.2448 0.0000
0.0000 0.0000 12.8392
! Space group   Pmn2_1
! Magnetization   8.77 μB/f.u.
! Crystal system   orthorhombic

=====

<C>
! NbCr3Ag2S8 PBE relaxed; values from VASP
&SYSTEM
  ibrav = 0, nat = 28, ntyp = 4
/
ATOMIC_SPECIES
Nb 92.91 Nb.upf
Cr 52.00 Cr.upf
Ag 107.87 Ag.upf
S 32.06 S.upf
ATOMIC_POSITIONS crystal
Nb 0.0000 0.1530 0.0000
Nb 0.5000 0.8470 0.5000
Cr 0.0000 0.2156 0.5062
Cr 0.0000 0.6769 0.7914
Cr 0.0000 0.6797 0.3021
Cr 0.5000 0.3203 0.8021
Cr 0.5000 0.3231 0.2914
Cr 0.5000 0.7844 0.0062
Ag 0.0000 0.0046 0.7060
Ag 0.0000 0.4874 0.5909
Ag 0.5000 0.5126 0.0909
Ag 0.5000 0.9954 0.2060
S 0.0000 0.1832 0.3297
S 0.0000 0.2516 0.6904
S 0.0000 0.3581 0.9231
S 0.0000 0.4684 0.2443
S 0.0000 0.6439 0.9693
S 0.0000 0.7795 0.6216
S 0.0000 0.8841 0.3669
S 0.0000 0.9354 0.0304
S 0.5000 0.0646 0.5304
S 0.5000 0.1159 0.8669
S 0.5000 0.2205 0.1216
S 0.5000 0.3561 0.4693
S 0.5000 0.5316 0.7443
S 0.5000 0.6419 0.4231
S 0.5000 0.7484 0.1904
S 0.5000 0.8168 0.8297
CELL_PARAMETERS angstrom
3.4722 0.0000 0.0000
0.0000 11.0233 0.0000
0.0000 0.0000 13.1651
! Space group   Pmn2_1
! Magnetization   8.76 μB/f.u.
! Crystal system   orthorhombic

=====

<D>
! NbCr3Ag2S8 PBE relaxed; values from VASP
&SYSTEM
  ibrav = 0, nat = 14, ntyp = 4
/
ATOMIC_SPECIES
Nb 92.91 Nb.upf
Cr 52.00 Cr.upf
Ag 107.87 Ag.upf
S 32.06 S.upf
ATOMIC_POSITIONS crystal
Nb 0.0000 0.0000 0.0000
Cr 0.0000 0.5000 0.0000
Cr 0.5000 0.2495 0.0000
Cr 0.5000 0.7505 0.0000
Ag 0.0000 0.0000 0.5000
Ag 0.0000 0.5000 0.5000
S 0.1953 0.2566 0.2157
S 0.1953 0.7434 0.2157
S 0.3127 0.5000 0.8030
S 0.3229 0.0000 0.7867
S 0.6771 0.0000 0.2133
S 0.6873 0.5000 0.1970
S 0.8047 0.2566 0.7843
S 0.8047 0.7434 0.7843
CELL_PARAMETERS angstrom
5.9807 0.0000 0.0000
0.0000 6.9699 0.0000
-0.6884 0.0000 6.5076
! Space group   P2/m
! Magnetization   8.89 μB/f.u.
! Crystal system   monoclinic

=====

Taking the most stable structure as the zero point, the relative energies in eV/atom are <A> 0.020; <B> 0.053; <C> 0.066; <D> 0.000.

=====

<A>
! NbCr3Ag2S8 PBE relaxed; values from VASP
&SYSTEM
  ibrav = 0, nat = 28, ntyp = 4
/
ATOMIC_SPECIES
Nb 92.91 Nb.upf
Cr 52.00 Cr.upf
Ag 107.87 Ag.upf
S 32.06 S.upf
ATOMIC_POSITIONS crystal
Nb 0.0000 0.0000 0.0000
Nb 0.0000 0.5000 0.0000
Cr 0.0000 0.0000 0.5000
Cr 0.0000 0.5000 0.5000
Cr 0.4927 0.0054 0.2471
Cr 0.4927 0.4946 0.2471
Cr 0.5073 0.5054 0.7529
Cr 0.5073 0.9946 0.7529
Ag 0.1593 0.2500 0.5106
Ag 0.3633 0.7500 0.2756
Ag 0.6367 0.2500 0.7244
Ag 0.8407 0.7500 0.4894
S 0.1689 0.1047 0.2569
S 0.1689 0.3953 0.2569
S 0.1805 0.0990 0.7436
S 0.1805 0.4010 0.7436
S 0.3318 0.5950 0.4949
S 0.3318 0.9050 0.4949
S 0.3357 0.6045 0.0071
S 0.3357 0.8955 0.0071
S 0.6643 0.1045 0.9929
S 0.6643 0.3955 0.9929
S 0.6682 0.0950 0.5051
S 0.6682 0.4050 0.5051
S 0.8195 0.5990 0.2564
S 0.8195 0.9010 0.2564
S 0.8311 0.6047 0.7431
S 0.8311 0.8953 0.7431
CELL_PARAMETERS angstrom
6.0191 0.0000 0.0000
0.0000 13.6482 0.0000
-0.0201 0.0000 6.8427
! Space group   P2_1/m
! Magnetization   8.75 μB/f.u.
! Crystal system   monoclinic

=====

<B>
! NbCr3Ag2S8 PBE relaxed; values from VASP
&SYSTEM
  ibrav = 0, nat = 28, ntyp = 4
/
ATOMIC_SPECIES
Nb 92.91 Nb.upf
Cr 52.00 Cr.upf
Ag 107.87 Ag.upf
S 32.06 S.upf
ATOMIC_POSITIONS crystal
Nb 0.1609 0.2500 0.2195
Nb 0.8391 0.7500 0.7805
Cr 0.1049 0.2500 0.5816
Cr 0.3366 0.7500 0.7099
Cr 0.4041 0.7500 0.0754
Cr 0.5959 0.2500 0.9246
Cr 0.6634 0.2500 0.2901
Cr 0.8951 0.7500 0.4184
Ag 0.1322 0.7500 0.9073
Ag 0.3833 0.2500 0.4192
Ag 0.6167 0.7500 0.5808
Ag 0.8678 0.2500 0.0927
S 0.0369 0.2500 0.3814
S 0.0597 0.7500 0.1144
S 0.2020 0.2500 0.7549
S 0.2279 0.7500 0.5420
S 0.2747 0.2500 0.0377
S 0.3070 0.7500 0.2576
S 0.4387 0.2500 0.6264
S 0.4613 0.7500 0.8839
S 0.5387 0.2500 0.1161
S 0.5613 0.7500 0.3736
S 0.6930 0.2500 0.7424
S 0.7253 0.7500 0.9623
S 0.7721 0.2500 0.4580
S 0.7980 0.7500 0.2451
S 0.9403 0.2500 0.8856
S 0.9631 0.7500 0.6186
CELL_PARAMETERS angstrom
12.0651 0.0000 0.0000
0.0000 3.4591 0.0000
-0.1774 0.0000 12.0662
! Space group   P2_1/m
! Magnetization   8.95 μB/f.u.
! Crystal system   monoclinic

=====

Taking the most stable structure as the zero point, the relative energies in eV/atom are <A> 0.000; <B> 0.078.

=====

<A>
! Cr2Ni2Ag PBE relaxed; values from VASP
&SYSTEM
  ibrav = 0, nat = 10, ntyp = 3
/
ATOMIC_SPECIES
Cr 52.00 Cr.upf
Ni 58.69 Ni.upf
Ag 107.87 Ag.upf
ATOMIC_POSITIONS crystal
Cr 0.1084 0.3916 0.0000
Cr 0.3916 0.8916 0.0000
Cr 0.6084 0.1084 0.0000
Cr 0.8916 0.6084 0.0000
Ni 0.1796 0.6796 0.5000
Ni 0.3204 0.1796 0.5000
Ni 0.6796 0.8204 0.5000
Ni 0.8204 0.3204 0.5000
Ag 0.0000 0.0000 0.0000
Ag 0.5000 0.5000 0.0000
CELL_PARAMETERS angstrom
7.1009 0.0000 0.0000
0.0000 7.1009 0.0000
0.0000 0.0000 2.5602
! Space group   P4/mbm
! Magnetization   0.73 μB/f.u.
! Crystal system   tetragonal

=====

<B>
! Cr2Ni2Ag PBE relaxed; values from VASP
&SYSTEM
  ibrav = 0, nat = 10, ntyp = 3
/
ATOMIC_SPECIES
Cr 52.00 Cr.upf
Ni 58.69 Ni.upf
Ag 107.87 Ag.upf
ATOMIC_POSITIONS crystal
Cr 0.1702 0.3298 0.0000
Cr 0.3298 0.8298 0.0000
Cr 0.6702 0.1702 0.0000
Cr 0.8298 0.6702 0.0000
Ni 0.1225 0.6225 0.5000
Ni 0.3775 0.1225 0.5000
Ni 0.6225 0.8775 0.5000
Ni 0.8775 0.3775 0.5000
Ag 0.0000 0.0000 0.5000
Ag 0.5000 0.5000 0.5000
CELL_PARAMETERS angstrom
7.0402 0.0000 0.0000
0.0000 7.0402 0.0000
0.0000 0.0000 2.5574
! Space group   P4/mbm
! Magnetization   0.01 μB/f.u.
! Crystal system   tetragonal

=====

Taking the most stable structure as the zero point, the relative energies in eV/atom are <A> 0.000; <B> 0.013.

=====

<A>
! CrNiAg2 PBE relaxed; values from VASP
&SYSTEM
  ibrav = 0, nat = 4, ntyp = 3
/
ATOMIC_SPECIES
Cr 52.00 Cr.upf
Ni 58.69 Ni.upf
Ag 107.87 Ag.upf
ATOMIC_POSITIONS crystal
Cr 0.0000 0.0000 0.0000
Ni 0.0000 0.0000 0.5000
Ag 0.5000 0.5000 0.2632
Ag 0.5000 0.5000 0.7368
CELL_PARAMETERS angstrom
3.2424 0.0000 0.0000
0.0000 3.2424 0.0000
0.0000 0.0000 5.9987
! Space group   P4/mmm
! Magnetization   4.46 μB/f.u.
! Crystal system   tetragonal

=====

<B>
! CrNiAg2 PBE relaxed; values from VASP
&SYSTEM
  ibrav = 0, nat = 4, ntyp = 3
/
ATOMIC_SPECIES
Cr 52.00 Cr.upf
Ni 58.69 Ni.upf
Ag 107.87 Ag.upf
ATOMIC_POSITIONS crystal
Cr 0.0000 0.0000 0.0000
Ni 0.5000 0.5000 0.0000
Ag 0.0000 0.5000 0.5000
Ag 0.5000 0.0000 0.5000
CELL_PARAMETERS angstrom
2.8210 -3.7321 0.0000
2.8210 3.7321 0.0000
0.0000 0.0000 2.9944
! Space group   Cmmm
! Magnetization   4.72 μB/f.u.
! Crystal system   orthorhombic

=====

Taking the most stable structure as the zero point, the relative energies in eV/atom are <A> 0.020; <B> 0.000.

=====

<A>
! CrNiAg2 PBE relaxed; values from VASP
&SYSTEM
  ibrav = 0, nat = 8, ntyp = 3
/
ATOMIC_SPECIES
Cr 52.00 Cr.upf
Ni 58.69 Ni.upf
Ag 107.87 Ag.upf
ATOMIC_POSITIONS crystal
Cr 0.0000 0.0000 0.0000
Cr 0.7500 0.2500 0.5000
Ni 0.2500 0.7500 0.5000
Ni 0.5000 0.5000 0.0000
Ag 0.1492 0.6250 0.0242
Ag 0.3750 0.3992 0.5242
Ag 0.6008 0.1250 0.9758
Ag 0.8750 0.8508 0.4758
CELL_PARAMETERS angstrom
-3.6105 3.6105 2.6578
3.6105 -3.6105 2.6578
3.6105 3.6105 -2.6578
! Space group   I-42d
! Magnetization   4.47 μB/f.u.
! Crystal system   tetragonal

=====

<B>
! CrNiAg2 PBE relaxed; values from VASP
&SYSTEM
  ibrav = 0, nat = 4, ntyp = 3
/
ATOMIC_SPECIES
Cr 52.00 Cr.upf
Ni 58.69 Ni.upf
Ag 107.87 Ag.upf
ATOMIC_POSITIONS crystal
Cr 0.0000 0.0000 0.0000
Ni 0.5000 0.5000 0.5000
Ag 0.2469 0.2469 0.2469
Ag 0.7531 0.7531 0.7531
CELL_PARAMETERS angstrom
1.4115 0.8149 9.0264
-1.4115 0.8149 9.0264
0.0000 -1.6299 9.0264
! Space group   R-3m
! Magnetization   3.79 μB/f.u.
! Crystal system   trigonal

=====

Taking the most stable structure as the zero point, the relative energies in eV/atom are <A> 0.180; <B> 0.000.